# 1
# ErPuH2O6

A geometry-optimized ErPuH2O6 structure (PBE, Alexandria).

a = 5.2202 Å, b = 5.4296 Å, c = 5.8737 Å
α = 62.53°, β = 89.46°, γ = 63.65°
Last column: nearest neighbours and their distance in Å.
Fractional coordinates of all 10 atoms:
Er 0.0000 0.0000 0.0000  6 O 2.24-2.27
Pu 0.5000 0.0000 0.5000  4 O 1.91
H 0.0846 0.5285 0.7331  1 O 0.98
H 0.9154 0.4715 0.2669  1 O 0.98
O 0.0897 0.4978 0.2521  1 H 0.98
O 0.2733 0.8605 0.7329  1 Pu 1.91
O 0.3900 0.8758 0.2774  1 Pu 1.91
O 0.6100 0.1242 0.7226  1 Pu 1.91
O 0.7267 0.1395 0.2671  1 Pu 1.91
O 0.9103 0.5022 0.7479  1 H 0.98

## Properties
Spin magnetization = 1.0 Bohr magnetons per cell
VASP energy = -7.758 eV per atom
Crystal system = triclinic
V = 12.8 Å³/atom

# 2
# Nd2Zn2Te

A geometry-optimized Nd2Zn2Te structure (PBE, Alexandria).

a = 8.1048 Å, b = 8.1048 Å, c = 8.1048 Å
α = 31.83°, β = 31.83°, γ = 31.83°
Last column: nearest neighbours and their distance in Å.
Fractional coordinates of all 5 atoms:
Nd 0.0838 0.0838 0.0838  3 Te 3.20, 6 Zn 3.20-3.22
Nd 0.9162 0.9162 0.9162  3 Te 3.20, 6 Zn 3.20-3.22
Zn 0.3328 0.3328 0.3328  3 Zn 2.57
Zn 0.6672 0.6672 0.6672  3 Zn 2.57
Te 0.5000 0.5000 0.5000  6 Nd 3.20

## Properties
Formation energy (no corrections) = -0.7906 eV/atom
Spin magnetization = 0.0 Bohr magnetons per cell
Crystal system = trigonal
V = 26.3 Å³/atom

# 3
# KLaPm4S8

A geometry-optimized KLaPm4S8 structure (PBE, Alexandria).

a = 8.5188 Å, b = 8.5188 Å, c = 8.5188 Å
α = 59.23°, β = 59.23°, γ = 59.23°
Last column: nearest neighbours and their distance in Å.
Fractional coordinates of all 14 atoms:
K 0.0000 0.0000 0.0000  4 S 2.93
La 0.6302 0.6302 0.6302  6 S 2.81-2.99
Pm 0.1146 0.6308 0.6308  6 S 2.74-2.96
Pm 0.2522 0.2522 0.2522  4 S 2.73-2.76
Pm 0.6308 0.1146 0.6308  6 S 2.74-2.96
Pm 0.6308 0.6308 0.1146  6 S 2.74-2.96
S 0.3813 0.3813 0.8560  3 Pm 2.73-2.95, 1 La 2.99
S 0.3813 0.8560 0.3813  3 Pm 2.73-2.95, 1 La 2.99
S 0.3839 0.3839 0.3839  4 Pm 2.76-2.96
S 0.4251 0.8634 0.8634  2 Pm 2.74, 1 La 2.81, 1 K 2.93
S 0.8560 0.3813 0.3813  3 Pm 2.73-2.95, 1 La 2.99
S 0.8602 0.8602 0.8602  3 Pm 2.75, 1 K 2.93
S 0.8634 0.4251 0.8634  2 Pm 2.74, 1 La 2.81, 1 K 2.93
S 0.8634 0.8634 0.4251  2 Pm 2.74, 1 La 2.81, 1 K 2.93

## Properties
Formation energy (no corrections) = -1.9368 eV/atom
Spin magnetization = 0.0 Bohr magnetons per cell
Crystal system = trigonal
V = 30.7 Å³/atom